Entry from the Alexandria database: a relaxed structure of KOs2W (PBE).

The structure in extended XYZ format:
```
4
Lattice="2.778 0.000 0.000 0.000 3.787 0.000 -0.053 0.000 8.065" Properties=species:S:1:pos:R:3 pbc="T T T"
K 0.000 0.000 0.000
Os 1.362 1.894 2.733
Os 1.363 1.894 5.331
W -0.027 0.000 4.032
```

Output
* raw total energy: -8.27 eV per atom
* ΔE to the lowest computed polymorph: 168.2 meV/atom
* calculated formation energy: 0.856 eV per atom